Material: BaTiFe2Pd
Method: DFT, GGA-PBE
State: optimized geometry

Relative energy among the computed polymorphs in meV/atom: 100.0
Symmetry: No. 123

POSCAR file:
```
BaTiFe2Pd
1.0
-3.4204 3.0100 -1.1281
-0.4769 -2.2489 -4.5546
-3.1843 -2.9480 1.7891
Ti Ba Pd Fe
1 1 1 2
Cartesian
-3.5408 -1.0935 -1.9468 Ti
0.0000 0.0000 0.0000 Ba
-0.2384 -1.1245 -2.2773 Pd
-1.5922 -1.4740 0.8945 Fe
-1.7102 1.5050 -0.5640 Fe
```

Material: BaTiFe2Pd
Method: DFT, GGA-PBE
State: optimized geometry

Relative energy among the computed polymorphs in meV/atom: 0.0
Symmetry: No. 123

POSCAR file:
```
BaTiFe2Pd
1.0
4.6990 0.0000 0.0000
0.0000 4.9630 0.0000
0.0000 0.0000 4.6990
Ti Ba Pd Fe
1 1 1 2
Cartesian
0.0000 2.4815 0.0000 Ti
0.0000 0.0000 0.0000 Ba
2.3495 2.4815 2.3495 Pd
0.0000 0.0000 2.3495 Fe
2.3495 0.0000 0.0000 Fe
```

Material: BaFePdW2
Method: DFT, GGA-PBE
State: optimized geometry

Calculated total energy in eV/atom: -7.20
Symmetry: No. 123

POSCAR file:
```
BaFePdW2
1.0
4.5277 0.0000 0.0000
0.0000 5.2397 0.0000
0.0000 0.0000 4.5277
Pd Ba W Fe
1 1 2 1
Cartesian
0.0000 2.6198 0.0000 Pd
2.2638 2.6198 2.2638 Ba
0.0000 0.0000 2.2638 W
2.2638 0.0000 0.0000 W
0.0000 0.0000 0.0000 Fe
```

Material: BaPr3Fe
Method: DFT, GGA-PBE
State: optimized geometry

Calculated total energy in eV/atom: -4.75
Symmetry: No. 221

POSCAR file:
```
BaPr3Fe
1.0
5.6308 0.0000 0.0000
0.0000 5.6308 0.0000
0.0000 0.0000 5.6308
Pr Ba Fe
3 1 1
Cartesian
0.0000 2.8154 0.0000 Pr
0.0000 0.0000 2.8154 Pr
2.8154 0.0000 0.0000 Pr
2.8154 2.8154 2.8154 Ba
0.0000 0.0000 0.0000 Fe
```

Material: BaPr2FeS5
Method: DFT, GGA-PBE
State: optimized geometry

Raw formation energy in eV/atom: -1.688
Symmetry: No. 140

POSCAR file:
```
BaPr2FeS5
1.0
8.7919 0.0009 0.0000
1.6161 8.6421 0.0000
-5.2040 -4.3215 5.6161
Pr S Ba Fe
4 10 2 2
Cartesian
5.8359 3.5606 2.8081 Pr
1.7940 -2.1603 4.6271 Pr
3.4101 6.4818 0.9890 Pr
-0.6318 0.7609 2.8081 Pr
8.4161 3.3388 1.1491 S
5.5799 0.9836 1.1491 S
-3.2121 0.9827 4.4671 S
3.0518 4.0279 2.8081 S
-0.6840 -2.0616 2.8081 S
2.1522 0.2936 2.8081 S
5.8880 6.3831 2.8081 S
-0.3758 3.3379 4.4671 S
0.0000 0.0000 0.0000 S
5.2040 4.3215 0.0000 S
7.8060 6.4822 0.0000 Ba
2.6020 2.1607 0.0000 Ba
0.8081 4.3211 2.8081 Fe
4.3960 0.0004 2.8081 Fe
```

Material: BaFePt2
Method: DFT, GGA-PBE
State: optimized geometry

Calculated total energy in eV/atom: -5.39
Symmetry: No. 65

POSCAR file:
```
BaFePt2
1.0
4.8567 0.2694 0.0000
-1.4649 4.6383 0.0000
0.0000 0.0000 3.6699
Ba Fe Pt
1 1 2
Cartesian
2.4284 0.1347 1.8350 Ba
-0.7325 2.3192 1.8350 Fe
0.0000 0.0000 0.0000 Pt
1.6959 2.4539 0.0000 Pt
```

Material: BaFe2Pt
Method: DFT, GGA-PBE
State: optimized geometry

Calculated total energy in eV/atom: -5.54
Symmetry: No. 119

POSCAR file:
```
BaFe2Pt
1.0
5.1569 -0.1348 0.0000
1.5002 4.9357 0.0000
-3.3286 -2.4005 3.1257
Ba Fe Pt
1 2 1
Cartesian
2.5784 -0.0674 1.5629 Ba
0.0000 0.0000 0.0000 Fe
0.7501 2.4678 1.5629 Fe
3.3286 2.4005 0.0000 Pt
```

Material: BaFe2Pt
Method: DFT, GGA-PBE
State: optimized geometry

Calculated total energy in eV/atom: -5.54
Symmetry: No. 216

POSCAR file:
```
BaFe2Pt
1.0
-1.3060 4.1456 -2.2128
-1.6121 -0.0953 -4.6022
-4.7015 0.8779 -0.9557
Ba Fe Pt
1 2 1
Cartesian
-3.8098 2.4641 -3.8854 Ba
0.0000 0.0000 0.0000 Fe
-1.9049 1.2321 -1.9427 Fe
-5.7147 3.6962 -5.8281 Pt
```

Material: BaFe2Pt
Method: DFT, GGA-PBE
State: optimized geometry

Calculated total energy in eV/atom: -5.54
Symmetry: No. 123

POSCAR file:
```
BaFe2Pt
1.0
-4.3203 -0.2024 0.9928
0.0712 -4.1978 -0.5458
0.9640 -0.5155 4.0902
Ba Fe Pt
1 2 1
Cartesian
-1.6781 -0.3589 2.5415 Ba
0.0000 0.0000 0.0000 Fe
0.5176 -2.3567 1.7722 Fe
-2.1246 -2.2001 0.2235 Pt
```

Material: BaFe2Pt
Method: DFT, GGA-PBE
State: optimized geometry

Calculated total energy in eV/atom: -5.60
Symmetry: No. 225

POSCAR file:
```
BaFe2Pt
1.0
0.0000 3.3561 3.3561
3.3561 0.0000 3.3561
3.3561 3.3561 0.0000
Ba Pt Fe
1 1 2
Cartesian
0.0000 0.0000 0.0000 Ba
3.3561 3.3561 3.3561 Pt
1.6780 1.6780 1.6780 Fe
5.0341 5.0341 5.0341 Fe
```

Material: BaFePt
Method: DFT, GGA-PBE
State: optimized geometry

Calculated total energy in eV/atom: -5.64
Symmetry: No. 187

POSCAR file:
```
BaFePt
1.0
-2.4684 2.2470 -2.6316
0.1051 -4.2396 -0.2859
-3.7259 -0.3102 3.2300
Ba Fe Pt
1 1 1
Cartesian
-0.0002 0.0000 0.0002 Ba
-2.6152 -2.2325 0.5468 Fe
-3.4737 -0.0703 -0.2345 Pt
```

Material: BaFePt2
Method: DFT, GGA-PBE
State: optimized geometry

Calculated total energy in eV/atom: -5.56
Symmetry: No. 99

POSCAR file:
```
BaFePt2
1.0
3.4407 -0.0168 0.0000
0.0174 3.4407 0.0000
0.0000 0.0000 7.2958
Ba Fe Pt
1 1 2
Cartesian
0.0000 0.0000 3.5456 Ba
1.7290 1.7120 6.2066 Fe
0.0000 0.0000 7.0865 Pt
1.7290 1.7120 1.4007 Pt
```

Material: BaFe2Pt
Method: DFT, GGA-PBE
State: optimized geometry

Calculated total energy in eV/atom: -5.98
Symmetry: No. 141

POSCAR file:
```
BaFe2Pt
1.0
-1.3098 -2.4217 -3.9311
0.5014 -4.1366 2.3813
-8.8293 -2.8401 1.7619
Ba Pt Fe
2 2 4
Cartesian
-0.4042 -3.2792 -0.7749 Ba
-4.3660 -5.1280 1.6841 Ba
0.0000 0.0000 0.0000 Pt
-5.2717 -4.2705 -1.4720 Pt
-3.2908 -3.3462 -2.7017 Fe
-3.0400 -5.4144 -1.5108 Fe
-7.0505 -3.5552 0.1448 Fe
-7.7054 -4.7663 -1.8205 Fe
```

Material: Ba2FePt
Method: DFT, GGA-PBE
State: optimized geometry

Calculated total energy in eV/atom: -4.35
Symmetry: No. 12

POSCAR file:
```
Ba2FePt
1.0
4.4913 -0.0549 0.0334
2.2990 3.8586 0.0334
2.1837 1.2232 8.1581
Ba Fe Pt
2 1 1
Cartesian
6.7860 3.8014 0.2668 Ba
4.4912 2.5159 3.9125 Ba
6.7304 3.7703 6.1687 Fe
2.2435 1.2568 2.0562 Pt
```

Material: Ba2FePt
Method: DFT, GGA-PBE
State: optimized geometry

Calculated total energy in eV/atom: -4.46
Symmetry: No. 65

POSCAR file:
```
Ba2FePt
1.0
-2.7083 0.9953 2.6546
-2.7530 -0.3941 -2.7638
-0.8725 -7.5710 1.9486
Ba Fe Pt
2 1 1
Cartesian
-0.8579 -7.4442 1.9159 Ba
-0.4509 -3.9124 1.0069 Ba
-2.9488 -1.5921 0.4326 Fe
-3.3850 -5.3776 1.4068 Pt
```

Material: BaFePt2
Method: DFT, GGA-PBE
State: optimized geometry

Calculated total energy in eV/atom: -5.78
Symmetry: No. 122

POSCAR file:
```
BaFePt2
1.0
-2.1953 1.5494 4.4375
-3.7471 -3.5335 -0.6200
1.5279 -6.4906 6.0544
Ba Pt Fe
2 4 2
Cartesian
0.0000 0.0000 0.0000 Ba
-1.8193 -2.9667 6.2003 Ba
-0.9644 -1.4447 3.2107 Pt
-2.7285 -3.2887 2.6796 Pt
-1.9259 -6.4074 5.8328 Pt
-3.2103 -5.8088 8.0206 Pt
-2.9712 -0.9921 1.9087 Fe
-2.5952 -5.5081 3.6715 Fe
```

Material: BaFePt2
Method: DFT, GGA-PBE
State: optimized geometry

Calculated total energy in eV/atom: -5.35
Symmetry: No. 119

POSCAR file:
```
BaFePt2
1.0
5.4349 -0.0006 0.0000
2.0562 5.0310 0.0000
-3.7456 -2.5152 3.0304
Ba Fe Pt
1 1 2
Cartesian
3.7456 2.5152 0.0000 Ba
2.7175 -0.0003 1.5152 Fe
0.0000 0.0000 0.0000 Pt
1.0281 2.5155 1.5152 Pt
```

Material: BaFe2Pt
Method: DFT, GGA-PBE
State: optimized geometry

Calculated total energy in eV/atom: -6.22
Symmetry: No. 12

POSCAR file:
```
BaFe2Pt
1.0
4.3351 -0.0258 0.0255
2.1837 3.7451 0.0255
2.1450 1.2238 5.6629
Ba Fe Pt
1 2 1
Cartesian
6.4979 3.7074 4.2854 Ba
6.5125 3.7157 1.1193 Fe
4.3382 2.4752 1.7887 Fe
2.1660 1.2358 1.4285 Pt
```

Material: BaFePt2
Method: DFT, GGA-PBE
State: optimized geometry

Calculated total energy in eV/atom: -5.29
Symmetry: No. 216

POSCAR file:
```
BaFePt2
1.0
4.8692 0.0000 0.0000
2.4346 4.2169 0.0000
2.4346 1.4056 3.9757
Ba Fe Pt
1 1 2
Cartesian
4.8692 2.8112 1.9879 Ba
7.3038 4.2169 2.9818 Fe
0.0000 0.0000 0.0000 Pt
2.4346 1.4056 0.9939 Pt
```

Material: BaFePt2
Method: DFT, GGA-PBE
State: optimized geometry

Calculated total energy in eV/atom: -5.37
Symmetry: No. 123

POSCAR file:
```
BaFePt2
1.0
4.5846 0.0000 0.0000
0.0000 4.5865 0.0000
0.0000 0.0000 3.9845
Ba Fe Pt
1 1 2
Cartesian
2.2923 0.0000 1.9923 Ba
0.0000 2.2933 1.9923 Fe
0.0000 0.0000 0.0000 Pt
2.2923 2.2933 0.0000 Pt
```

Material: BaFe2Pt
Method: DFT, GGA-PBE
State: optimized geometry

Calculated total energy in eV/atom: -5.70
Symmetry: No. 71

POSCAR file:
```
BaFe2Pt
1.0
5.9308 0.0011 -0.0004
2.6649 5.2984 0.0004
-3.5382 -3.8818 2.7544
Ba Fe Pt
1 2 1
Cartesian
1.7123 2.0332 1.3774 Ba
8.1854 5.0465 0.0000 Fe
4.7082 2.9027 0.0000 Fe
3.3452 -0.6155 1.3770 Pt
```

Material: BaFe2Pt
Method: DFT, GGA-PBE
State: optimized geometry

Calculated total energy in eV/atom: -5.90
Symmetry: No. 123

POSCAR file:
```
BaFe2Pt
1.0
-2.2923 -0.9990 -2.3031
-0.2258 -3.0232 1.5361
-5.3033 2.5222 4.1843
Ba Fe Pt
1 2 1
Cartesian
-5.2365 -0.1195 2.7547 Ba
-0.5129 0.2439 0.4046 Fe
-2.1388 1.0172 1.6875 Fe
-2.5849 -1.3805 0.6626 Pt
```

Material: Ba2FePt
Method: DFT, GGA-PBE
State: optimized geometry

Calculated total energy in eV/atom: -4.30
Symmetry: No. 119

POSCAR file:
```
Ba2FePt
1.0
-6.3045 -0.7686 1.5452
-3.8391 -4.0388 -3.4167
5.8509 -0.0103 2.9139
Ba Fe Pt
2 1 1
Cartesian
0.0000 0.0000 0.0000 Ba
-1.5300 -3.2265 -0.7192 Ba
-5.0718 -2.4037 -0.9358 Fe
-2.7626 -1.5913 1.7617 Pt
```

Material: BaFe2Pt
Method: DFT, GGA-PBE
State: optimized geometry

Calculated total energy in eV/atom: -5.95
Symmetry: No. 99

POSCAR file:
```
BaFe2Pt
1.0
-1.9954 -0.0875 2.5738
1.5535 -2.6376 1.1148
4.7461 4.4139 3.8295
Ba Fe Pt
1 2 1
Cartesian
3.3129 1.9240 4.6957 Ba
0.4303 0.4002 0.3472 Fe
0.9143 -0.3067 2.7603 Fe
2.0197 1.8784 1.6297 Pt
```

Material: Ba2FePt
Method: DFT, GGA-PBE
State: optimized geometry

Calculated total energy in eV/atom: -4.70
Symmetry: No. 38

POSCAR file:
```
Ba2FePt
1.0
-2.2956 -2.7013 -2.7545
2.9140 -3.6948 1.1948
-2.1394 -3.2634 4.9832
Ba Fe Pt
2 1 1
Cartesian
0.9257 -6.5965 5.6975 Ba
-1.0716 -3.4386 0.6068 Ba
0.7885 -4.2272 3.4883 Fe
-1.0016 -5.8344 2.8980 Pt
```

Material: BaFePt
Method: DFT, GGA-PBE
State: optimized geometry

Calculated total energy in eV/atom: -5.44
Symmetry: No. 107

POSCAR file:
```
BaFePt
1.0
-5.9511 0.7350 -1.6538
-4.5296 -1.5935 -3.9541
-1.8269 -2.6455 1.5485
Ba Fe Pt
1 1 1
Cartesian
-1.8580 -2.6391 1.5228 Ba
-4.1847 -2.1586 -0.4013 Fe
-8.0918 -1.3518 -3.6323 Pt
```

Material: BaFe2Pt
Method: DFT, GGA-PBE
State: optimized geometry

Calculated total energy in eV/atom: -5.50
Symmetry: No. 12

POSCAR file:
```
BaFe2Pt
1.0
-3.2404 0.3417 4.4077
0.0851 -4.7714 -2.7264
1.6500 -1.7675 1.8488
Ba Fe Pt
1 2 1
Cartesian
-1.5776 -2.2149 0.8407 Ba
0.0000 0.0000 0.0000 Fe
-0.7952 -0.7129 3.1283 Fe
0.8676 -3.2694 -0.4388 Pt
```

Material: BaFe2Pt
Method: DFT, GGA-PBE
State: optimized geometry

Calculated total energy in eV/atom: -5.58
Symmetry: No. 139

POSCAR file:
```
BaFe2Pt
1.0
-4.9578 1.4989 -1.4104
-3.6148 -1.0821 3.8180
4.7571 2.4871 0.0058
Ba Fe Pt
1 2 1
Cartesian
-2.2435 2.0972 -0.1004 Ba
0.0000 0.0000 0.0000 Fe
-4.2863 0.2084 1.2038 Fe
-1.5720 0.8067 2.5138 Pt
```

Material: BaFePt2
Method: DFT, GGA-PBE
State: optimized geometry

Calculated total energy in eV/atom: -5.67
Symmetry: No. 25

POSCAR file:
```
BaFePt2
1.0
-2.8466 -0.6143 2.7120
1.7232 -2.8658 1.1596
3.3148 3.7443 4.3274
Ba Fe Pt
1 1 2
Cartesian
2.6274 -0.0413 2.7484 Ba
2.7276 1.3748 6.0938 Fe
3.2174 3.0325 4.0638 Pt
-0.5471 0.0818 2.3638 Pt
```